Here is crystalline In2PtSe at its relaxed geometry from Alexandria. Energies are from PBE.

For the formation energy (no corrections), the calculation gives -4.2 kJ/mol of atoms. As for the density of states at the Fermi level: 2.06 states/eV/cell. The value obtained for the total energy is -15.17 eV per formula unit. The total magnetization comes out at 0.00 μB per atom.

Geometry as extended XYZ:
```
4
Lattice="-2.000 3.108 3.841 2.000 -3.108 3.841 2.000 3.108 -3.841" Properties=species:S:1:pos:R:3 pbc="T T T"
In 0.000 0.000 1.818
In 0.000 0.000 5.863
Pt 2.000 0.000 0.000
Se 0.000 3.108 0.000
```

Here is crystalline LiSnAs2 at its relaxed geometry from Alexandria. Energies are from PBE.

As for the density of states at the Fermi level: 1.65 states/eV/cell. The value obtained for the total energy is -15.55 eV per formula unit. The total magnetization comes out at 0.00 μB per atom. Its energy of formation is -0.084 eV/atom.

Geometry as extended XYZ:
```
4
Lattice="4.423 0.000 0.000 0.000 4.423 0.000 0.000 0.000 4.219" Properties=species:S:1:pos:R:3 pbc="T T T"
Li 0.000 0.000 0.000
Sn 2.212 2.212 0.000
As 0.000 2.212 2.110
As 2.212 0.000 2.110
```

Here is crystalline CeYErTh at its relaxed geometry from Alexandria. Energies are from PBE.

As for the density of states at the Fermi level: 11.78 states/eV/cell. The value obtained for the total energy is -23.48 eV per formula unit. The total magnetization comes out at 0.70 μB per atom. Its energy of formation is 0.224 eV/atom.

Geometry as extended XYZ:
```
4
Lattice="0.000 3.994 3.994 3.994 0.000 3.994 3.994 3.994 0.000" Properties=species:S:1:pos:R:3 pbc="T T T"
Ce 0.000 0.000 0.000
Y 5.991 5.991 5.991
Er 3.994 3.994 3.994
Th 1.997 1.997 1.997
```

Here is crystalline Sm2Al7Au12 at its relaxed geometry from Alexandria. Energies are from PBE.

As for the density of states at the Fermi level: 10.80 states/eV/cell. The value obtained for the total energy is -85.79 eV per formula unit. The total magnetization comes out at 0.00 μB per atom. Its energy of formation is -0.515 eV/atom.

Geometry as extended XYZ:
```
21
Lattice="10.336 0.000 0.000 -5.168 8.951 0.000 0.000 0.000 4.275" Properties=species:S:1:pos:R:3 pbc="T T T"
Sm 0.000 0.000 0.000
Sm 0.000 5.967 2.138
Al -1.999 4.101 0.000
Al 1.445 2.255 2.138
Al -0.617 8.632 0.000
Al 2.616 5.169 0.000
Al 5.168 2.984 0.000
Al 7.660 0.124 2.138
Al 6.398 6.572 2.138
Au -1.082 2.271 2.138
Au -2.283 6.686 0.000
Au -2.660 8.753 2.138
Au 0.519 3.630 0.000
Au 2.858 1.788 0.000
Au 3.539 3.907 2.138
Au 5.183 1.111 2.138
Au 1.764 7.585 0.000
Au 3.742 6.878 2.138
Au 7.358 1.581 0.000
Au 5.287 5.582 0.000
Au 6.782 3.933 2.138
```

Here is crystalline Sr3Hg4Pb2Au2 at its relaxed geometry from Alexandria. Energies are from PBE.

As for the density of states at the Fermi level: 5.25 states/eV/cell. The value obtained for the total energy is -24.91 eV per formula unit. The total magnetization comes out at 0.00 μB per atom. Its energy of formation is -0.426 eV/atom.

Geometry as extended XYZ:
```
11
Lattice="4.932 0.000 0.000 -2.466 4.271 0.000 0.000 0.000 15.933" Properties=species:S:1:pos:R:3 pbc="T T T"
Sr 0.000 0.000 0.000
Sr 0.000 0.000 3.919
Sr 0.000 0.000 12.014
Hg 0.000 2.848 5.564
Hg 0.000 2.848 14.015
Hg 2.466 1.424 1.918
Hg 2.466 1.424 10.369
Pb 0.000 2.848 8.829
Pb 2.466 1.424 7.105
Au 0.000 2.848 2.050
Au 2.466 1.424 13.883
```

Here is crystalline BeCd2Sn at its relaxed geometry from Alexandria. Energies are from PBE.

As for the density of states at the Fermi level: 3.18 states/eV/cell. The value obtained for the total energy is -7.99 eV per formula unit. The total magnetization comes out at 0.00 μB per atom. Its energy of formation is 0.393 eV/atom.

Geometry as extended XYZ:
```
8
Lattice="-2.200 2.200 9.140 2.200 -2.200 9.140 2.200 2.200 -9.140" Properties=species:S:1:pos:R:3 pbc="T T T"
Be 0.000 0.000 0.000
Be 0.000 2.200 4.570
Cd 3.301 0.896 -2.285
Cd 0.896 1.100 2.285
Cd -1.100 1.304 6.855
Cd 1.304 1.100 11.425
Sn 2.200 0.000 4.570
Sn 0.000 0.000 9.140
```

Here is crystalline Zr2Fe2S at its relaxed geometry from Alexandria. Energies are from PBE.

For the formation energy (no corrections), the calculation gives -16.6 kJ/mol of atoms. As for the density of states at the Fermi level: 10.65 states/eV/cell. The value obtained for the total energy is -39.01 eV per formula unit. The total magnetization comes out at 0.77 μB per atom.

Geometry as extended XYZ:
```
10
Lattice="6.960 0.000 0.000 0.000 6.960 0.000 0.000 0.000 3.768" Properties=species:S:1:pos:R:3 pbc="T T T"
Zr 1.202 2.277 0.000
Zr 2.277 5.757 0.000
Zr 4.682 1.202 0.000
Zr 5.757 4.682 0.000
Fe 0.776 4.255 1.884
Fe 2.704 0.776 1.884
Fe 4.255 6.184 1.884
Fe 6.184 2.704 1.884
S 0.000 0.000 0.000
S 3.480 3.480 0.000
```

Here is crystalline HoErMgS4 at its relaxed geometry from Alexandria. Energies are from PBE.

For the formation energy (no corrections), the calculation gives -182.9 kJ/mol of atoms. As for the density of states at the Fermi level: 0.00 states/eV/cell. The value obtained for the total energy is -40.52 eV per formula unit. The total magnetization comes out at 0.00 μB per atom.

Geometry as extended XYZ:
```
14
Lattice="-3.928 3.933 5.560 3.928 -3.933 5.560 3.928 3.933 -5.560" Properties=species:S:1:pos:R:3 pbc="T T T"
Ho 0.000 0.000 0.000
Ho 0.000 3.933 0.000
Er -1.964 1.966 2.780
Er 1.964 1.966 2.780
Mg 3.928 1.966 -1.391
Mg 0.000 1.966 6.951
S 0.000 0.084 2.728
S 1.890 1.966 0.063
S 2.038 -1.966 5.623
S 3.928 0.084 2.832
S 0.000 3.848 2.728
S 1.890 5.899 -0.063
S 2.038 1.966 5.498
S 3.928 3.848 2.832
```

Repeat the fifth record exactly.
Here is crystalline Sr3Hg4Pb2Au2 at its relaxed geometry from Alexandria. Energies are from PBE.

As for the density of states at the Fermi level: 5.25 states/eV/cell. The value obtained for the total energy is -24.91 eV per formula unit. The total magnetization comes out at 0.00 μB per atom. Its energy of formation is -0.426 eV/atom.

Geometry as extended XYZ:
```
11
Lattice="4.932 0.000 0.000 -2.466 4.271 0.000 0.000 0.000 15.933" Properties=species:S:1:pos:R:3 pbc="T T T"
Sr 0.000 0.000 0.000
Sr 0.000 0.000 3.919
Sr 0.000 0.000 12.014
Hg 0.000 2.848 5.564
Hg 0.000 2.848 14.015
Hg 2.466 1.424 1.918
Hg 2.466 1.424 10.369
Pb 0.000 2.848 8.829
Pb 2.466 1.424 7.105
Au 0.000 2.848 2.050
Au 2.466 1.424 13.883
```